A plane-wave DFT calculation with PBE was carried out for an optimized crystal structure of Pd2RuSe2.

* E_form (uncorrected): 0.42 eV per atom
* total magnetization: 0.232 μB/atom
* space group: I4/mmm (139)

abc: 3.592 3.592 13.819
angles: 90.00 90.00 90.00
Fractional coordinates of all 10 atoms:
Pd 0.000 0.500 0.250
Pd 0.000 0.500 0.750
Pd 0.500 0.000 0.250
Pd 0.500 0.000 0.750
Ru 0.000 0.000 0.000
Ru 0.500 0.500 0.500
Se 0.000 0.000 0.396
Se 0.000 0.000 0.604
Se 0.500 0.500 0.104
Se 0.500 0.500 0.896